[1]
{"formula": "MnInCo2", "functional": "GGA-PBE", "state": "relaxed", "lattice": [[4.248, -1.434, 0.000], [4.248, 1.434, 0.000], [-1.155, 0.000, 4.562]], "species": ["Mn", "In", "Co", "Co"], "frac_coords": [[0.000, 0.000, 0.000], [0.500, 0.500, 0.500], [0.262, 0.262, 0.788], [0.738, 0.738, 0.212]], "formation_enthalpy_0k_mev_per_atom": 214.6}



[2]
{"formula": "U2BRu5", "functional": "GGA-PBE", "state": "relaxed", "lattice": [[-2.855, 2.855, 3.936], [2.855, -2.855, 3.936], [2.855, 2.855, -3.936]], "species": ["U", "U", "B", "Ru", "Ru", "Ru", "Ru", "Ru"], "frac_coords": [[0.000, 0.500, 0.500], [0.500, 0.000, 0.500], [0.301, 0.301, 0.000], [0.003, 0.003, 0.000], [0.505, 0.505, 0.511], [0.505, 0.995, 0.000], [0.995, 0.505, 0.000], [0.995, 0.995, 0.489]], "formation_enthalpy_0k_mev_per_atom": -326.9}



[3]
{"formula": "YGa2SbO8", "functional": "GGA-PBE", "state": "relaxed", "lattice": [[-3.423, 3.423, 3.288], [3.423, -3.423, 3.288], [3.423, 3.423, -3.288]], "species": ["Y", "Ga", "Ga", "Sb", "O", "O", "O", "O", "O", "O", "O", "O"], "frac_coords": [[0.000, 0.000, 0.000], [0.500, 0.500, 0.000], [0.750, 0.250, 0.500], [0.250, 0.750, 0.500], [0.309, 0.108, 0.799], [0.309, 0.509, 0.201], [0.363, 0.038, 0.325], [0.491, 0.691, 0.799], [0.713, 0.038, 0.675], [0.892, 0.691, 0.201], [0.962, 0.287, 0.325], [0.962, 0.637, 0.675]], "formation_energy_uncorrected_mev_per_atom": -1580}



[4]
{"formula": "Zr4ZnGa", "functional": "GGA-PBE", "state": "relaxed", "lattice": [[6.889, 0.000, 0.000], [0.000, 6.889, 0.000], [0.000, 0.000, 5.158]], "species": ["Zr", "Zr", "Zr", "Zr", "Zr", "Zr", "Zr", "Zr", "Zn", "Zn", "Ga", "Ga"], "frac_coords": [[0.152, 0.347, 0.000], [0.152, 0.653, 0.500], [0.347, 0.152, 0.500], [0.347, 0.848, 0.000], [0.653, 0.152, 0.000], [0.653, 0.848, 0.500], [0.848, 0.347, 0.500], [0.848, 0.653, 0.000], [0.500, 0.500, 0.250], [0.500, 0.500, 0.750], [0.000, 0.000, 0.250], [0.000, 0.000, 0.750]], "formation_enthalpy_0k_mev_per_atom": -305.5}



[5]
{"formula": "Sc3FeRu", "functional": "GGA-PBE", "state": "relaxed", "lattice": [[4.929, 0.000, 0.000], [0.000, 4.929, 0.000], [0.000, 0.000, 4.929]], "species": ["Sc", "Sc", "Sc", "Fe", "Ru"], "frac_coords": [[0.000, 0.000, 0.500], [0.000, 0.500, 0.000], [0.500, 0.000, 0.000], [0.500, 0.500, 0.500], [0.000, 0.000, 0.000]], "formation_enthalpy_0k_mev_per_atom": 346.2}



[6]
{"formula": "YHoPa2N4", "functional": "GGA-PBE", "state": "relaxed", "lattice": [[6.030, 0.000, 0.000], [0.000, 3.478, 0.000], [-2.018, 0.000, 5.702]], "species": ["Y", "Ho", "Pa", "Pa", "N", "N", "N", "N"], "frac_coords": [[0.000, 0.000, 0.000], [0.500, 0.500, 0.000], [0.000, 0.500, 0.500], [0.500, 0.000, 0.500], [0.249, 0.000, 0.742], [0.255, 0.500, 0.259], [0.745, 0.500, 0.741], [0.751, 0.000, 0.258]], "formation_energy_uncorrected_mev_per_atom": -1663}



[7]
{"formula": "Tl5HgTe4", "functional": "GGA-PBE", "state": "relaxed", "lattice": [[9.691, 0.000, 0.000], [0.000, 9.978, 0.000], [0.000, 0.000, 8.640]], "species": ["Tl", "Tl", "Tl", "Tl", "Tl", "Tl", "Tl", "Tl", "Tl", "Tl", "Hg", "Hg", "Te", "Te", "Te", "Te", "Te", "Te", "Te", "Te"], "frac_coords": [[0.009, 0.061, 0.248], [0.009, 0.439, 0.248], [0.250, 0.250, 0.640], [0.491, 0.061, 0.248], [0.491, 0.439, 0.248], [0.509, 0.561, 0.752], [0.509, 0.939, 0.752], [0.750, 0.750, 0.360], [0.991, 0.561, 0.752], [0.991, 0.939, 0.752], [0.250, 0.750, 0.256], [0.750, 0.250, 0.744], [0.011, 0.250, 0.892], [0.250, 0.539, 0.501], [0.250, 0.961, 0.501], [0.489, 0.250, 0.892], [0.511, 0.750, 0.108], [0.750, 0.039, 0.499], [0.750, 0.461, 0.499], [0.989, 0.750, 0.108]], "formation_energy_uncorrected_mev_per_atom": -204}



[8]
{"formula": "TcBi2Pt", "functional": "GGA-PBE", "state": "relaxed", "lattice": [[0.000, 3.494, 3.494], [3.494, 0.000, 3.494], [3.494, 3.494, 0.000]], "species": ["Tc", "Bi", "Bi", "Pt"], "frac_coords": [[0.000, 0.000, 0.000], [0.250, 0.250, 0.250], [0.750, 0.750, 0.750], [0.500, 0.500, 0.500]], "formation_enthalpy_0k_mev_per_atom": 432.3}



[9]
{"formula": "SmHo14Sc", "functional": "GGA-PBE", "state": "relaxed", "lattice": [[7.030, 0.000, 0.000], [0.000, 7.030, 0.000], [0.000, 0.000, 9.926]], "species": ["Sm", "Ho", "Ho", "Ho", "Ho", "Ho", "Ho", "Ho", "Ho", "Ho", "Ho", "Ho", "Ho", "Ho", "Ho", "Sc"], "frac_coords": [[0.000, 0.000, 0.000], [0.000, 0.000, 0.500], [0.000, 0.500, 0.000], [0.000, 0.500, 0.500], [0.252, 0.252, 0.248], [0.252, 0.252, 0.752], [0.252, 0.748, 0.248], [0.252, 0.748, 0.752], [0.500, 0.000, 0.000], [0.500, 0.000, 0.500], [0.500, 0.500, 0.500], [0.748, 0.252, 0.248], [0.748, 0.252, 0.752], [0.748, 0.748, 0.248], [0.748, 0.748, 0.752], [0.500, 0.500, 0.000]], "formation_enthalpy_0k_mev_per_atom": 23.7}



[10]
{"formula": "YAlSe3", "functional": "GGA-PBE", "state": "relaxed", "lattice": [[3.407, 1.967, 6.203], [-3.407, 1.967, 6.203], [0.000, -3.934, 6.203]], "species": ["Y", "Y", "Al", "Al", "Se", "Se", "Se", "Se", "Se", "Se"], "frac_coords": [[0.150, 0.150, 0.150], [0.850, 0.850, 0.850], [0.341, 0.341, 0.341], [0.659, 0.659, 0.659], [0.064, 0.718, 0.448], [0.282, 0.552, 0.936], [0.448, 0.064, 0.718], [0.552, 0.936, 0.282], [0.718, 0.448, 0.064], [0.936, 0.282, 0.552]], "formation_energy_uncorrected_mev_per_atom": -1273}



[11]
{"formula": "KRbSe2", "functional": "GGA-PBE", "state": "relaxed", "lattice": [[2.218, 1.281, 10.927], [-2.218, 1.281, 10.927], [0.000, -2.561, 10.927]], "species": ["K", "Rb", "Se", "Se"], "frac_coords": [[0.000, 0.000, 0.000], [0.500, 0.500, 0.500], [0.093, 0.093, 0.093], [0.907, 0.907, 0.907]], "formation_energy_uncorrected_mev_per_atom": -258}



[12]
{"formula": "RbCd2CoSn", "functional": "GGA-PBE", "state": "relaxed", "lattice": [[5.242, 0.000, 0.000], [0.000, 5.242, 0.000], [0.000, 0.000, 4.875]], "species": ["Rb", "Cd", "Cd", "Co", "Sn"], "frac_coords": [[0.000, 0.000, 0.000], [0.000, 0.500, 0.500], [0.500, 0.000, 0.500], [0.500, 0.500, 0.500], [0.500, 0.500, 0.000]], "formation_enthalpy_0k_mev_per_atom": 2.4}



[13]
{"formula": "Eu2InP", "functional": "GGA-PBE", "state": "relaxed", "lattice": [[2.041, 1.178, 10.036], [-2.041, 1.178, 10.036], [0.000, -2.356, 10.036]], "species": ["Eu", "Eu", "In", "P"], "frac_coords": [[0.113, 0.113, 0.113], [0.887, 0.887, 0.887], [0.000, 0.000, 0.000], [0.500, 0.500, 0.500]], "formation_enthalpy_0k_mev_per_atom": -546.6}



[14]
{"formula": "BaFe2PH", "functional": "GGA-PBE", "state": "relaxed", "lattice": [[5.645, 0.000, 0.000], [0.000, 5.645, 0.000], [0.000, 0.000, 5.681]], "species": ["Ba", "Fe", "Fe", "P", "H"], "frac_coords": [[0.000, 0.000, 0.000], [0.000, 0.500, 0.000], [0.500, 0.000, 0.000], [0.000, 0.000, 0.500], [0.500, 0.500, 0.500]], "final_energy_ev_per_atom": -3.099}



[15]
{"formula": "CaSi2Os", "functional": "GGA-PBE", "state": "relaxed", "lattice": [[-1.979, 1.979, 4.189], [1.979, -1.979, 4.189], [1.979, 1.979, -4.189]], "species": ["Ca", "Si", "Si", "Os"], "frac_coords": [[0.000, 0.000, 0.000], [0.500, 0.500, 0.000], [0.750, 0.250, 0.500], [0.250, 0.750, 0.500]], "formation_energy_uncorrected_mev_per_atom": 330}



[16]
{"formula": "Be3SbMo", "functional": "GGA-PBE", "state": "relaxed", "lattice": [[4.425, 0.000, 0.000], [0.000, 4.425, 0.000], [0.000, 0.000, 4.425]], "species": ["Be", "Be", "Be", "Sb", "Mo"], "frac_coords": [[0.000, 0.000, 0.500], [0.000, 0.500, 0.000], [0.500, 0.000, 0.000], [0.000, 0.000, 0.000], [0.500, 0.500, 0.500]], "formation_energy_uncorrected_mev_per_atom": 1819}



[17]
{"formula": "Tb4AlRu", "functional": "GGA-PBE", "state": "relaxed", "lattice": [[4.417, -6.635, 0.000], [4.417, 6.635, 0.000], [-2.579, 0.000, 5.528]], "species": ["Tb", "Tb", "Tb", "Tb", "Tb", "Tb", "Tb", "Tb", "Al", "Al", "Ru", "Ru"], "frac_coords": [[0.059, 0.712, 0.929], [0.214, 0.355, 0.667], [0.288, 0.941, 0.571], [0.355, 0.214, 0.167], [0.645, 0.786, 0.833], [0.712, 0.059, 0.429], [0.786, 0.645, 0.333], [0.941, 0.288, 0.071], [0.373, 0.627, 0.250], [0.627, 0.373, 0.750], [0.000, 0.000, 0.250], [0.000, 0.000, 0.750]], "formation_enthalpy_0k_mev_per_atom": -290.0}



[18]
{"formula": "NpVPd2", "functional": "GGA-PBE", "state": "relaxed", "lattice": [[1.394, 0.805, 10.164], [-1.394, 0.805, 10.164], [0.000, -1.609, 10.164]], "species": ["Np", "V", "Pd", "Pd"], "frac_coords": [[0.000, 0.000, 0.000], [0.500, 0.500, 0.500], [0.422, 0.422, 0.422], [0.578, 0.578, 0.578]], "formation_enthalpy_0k_mev_per_atom": 186.6}



[19]
{"formula": "TlS2F", "functional": "GGA-PBE", "state": "relaxed", "lattice": [[1.483, 0.856, 9.120], [-1.483, 0.856, 9.120], [0.000, -1.712, 9.120]], "species": ["Tl", "S", "S", "F"], "frac_coords": [[0.000, 0.000, 0.000], [0.098, 0.098, 0.098], [0.902, 0.902, 0.902], [0.500, 0.500, 0.500]], "formation_energy_uncorrected_mev_per_atom": 516}



[20]
{"formula": "TaWS3", "functional": "GGA-PBE", "state": "relaxed", "lattice": [[5.490, -5.165, 0.000], [5.490, 5.165, 0.000], [-1.991, 0.000, 6.443]], "species": ["Ta", "Ta", "Ta", "Ta", "W", "W", "W", "W", "S", "S", "S", "S", "S", "S", "S", "S", "S", "S", "S", "S"], "frac_coords": [[0.027, 0.973, 0.750], [0.280, 0.720, 0.250], [0.720, 0.280, 0.750], [0.973, 0.027, 0.250], [0.121, 0.348, 0.969], [0.348, 0.121, 0.469], [0.652, 0.879, 0.531], [0.879, 0.652, 0.031], [0.061, 0.228, 0.588], [0.139, 0.640, 0.874], [0.228, 0.061, 0.088], [0.293, 0.431, 0.327], [0.360, 0.861, 0.626], [0.431, 0.293, 0.827], [0.569, 0.707, 0.173], [0.640, 0.139, 0.374], [0.707, 0.569, 0.673], [0.772, 0.939, 0.912], [0.861, 0.360, 0.126], [0.939, 0.772, 0.412]], "formation_energy_uncorrected_mev_per_atom": -521}